[1]
Here is an optimized crystal structure of Pm3Nd2Cd6 from the Alexandria database. Energies are from PBE-GGA.

Structure (CIF):
```
data_Pm3Nd2Cd6
_chemical_formula_sum 'Pm6 Nd4 Cd12'
_space_group_name_H-M_alt 'I 4/m m m'
_space_group_IT_number 139
_space_group_name_Hall '-I 4 2'
_cell_length_a 5.022
_cell_length_b 5.022
_cell_length_c 28.873
_cell_angle_alpha 90.00
_cell_angle_beta 90.00
_cell_angle_gamma 90.00
loop_
_atom_site_label
_atom_site_type_symbol
_atom_site_fract_x
_atom_site_fract_y
_atom_site_fract_z
_atom_site_occupancy
Pm1 Pm 0.000 0.000 0.000 1
Pm2 Pm 0.000 0.000 0.138 1
Nd1 Nd 0.000 0.000 0.365 1
Cd1 Cd 0.000 0.000 0.251 1
Cd2 Cd 0.000 0.500 0.066 1
```

Computed properties:
Total magnetic moment in μB/f.u.: 0.000
Calculated total energy in eV/atom: -2.58



[2]
Here is an optimized crystal structure of Pm7NdCd4 from the Alexandria database. Energies are from PBE-GGA.

Structure (CIF):
```
data_Pm7NdCd4
_chemical_formula_sum 'Pm14 Nd2 Cd8'
_space_group_name_H-M_alt 'C 1 2/m 1'
_space_group_IT_number 12
_space_group_name_Hall '-C 2y'
_cell_length_a 15.018
_cell_length_b 5.857
_cell_length_c 9.958
_cell_angle_alpha 90.00
_cell_angle_beta 122.10
_cell_angle_gamma 90.00
loop_
_atom_site_label
_atom_site_type_symbol
_atom_site_fract_x
_atom_site_fract_y
_atom_site_fract_z
_atom_site_occupancy
Pm1 Pm 0.000 0.000 0.000 1
Pm2 Pm 0.070 0.500 0.411 1
Pm3 Pm 0.204 0.500 0.881 1
Pm4 Pm 0.236 0.000 0.692 1
Nd1 Nd 0.000 0.500 0.000 1
Cd1 Cd 0.040 0.000 0.712 1
Cd2 Cd 0.182 0.000 0.343 1
```

Computed properties:
Total magnetic moment in μB/f.u.: 0.140
Calculated total energy in eV/atom: -3.50